No. 1
This record from Alexandria via LeMat-Bulk describes an optimized crystal structure of Ac12Bi3Pt5. The functional is PBE.

Geometry as extended XYZ:
```
80
Lattice="-9.396 9.396 9.396 9.396 -9.396 9.396 9.396 9.396 -9.396" Properties=species:S:1:pos:R:3 pbc="T T T"
Ac 2.769 -0.520 1.102
Ac 11.325 5.800 -5.218
Ac 12.166 0.520 1.102
Ac 11.325 -3.596 5.218
Ac 8.876 -1.102 2.769
Ac 14.615 -1.929 3.596
Ac 1.102 2.769 -0.520
Ac 12.993 4.178 -1.929
Ac 5.800 5.218 -1.929
Ac 8.294 2.769 0.520
Ac -0.520 1.102 2.769
Ac 5.218 -1.929 5.800
Ac 8.876 8.294 -2.769
Ac 5.218 1.929 3.596
Ac 5.800 -5.218 11.325
Ac 8.294 -2.769 8.876
Ac 3.596 5.218 1.929
Ac 10.498 6.627 0.520
Ac 5.218 11.325 -3.596
Ac 8.876 1.102 6.627
Ac 2.769 8.876 -1.102
Ac 11.325 3.596 4.178
Ac 1.929 3.596 5.218
Ac 2.769 0.520 8.294
Ac 6.627 8.876 1.102
Ac 7.467 5.800 4.178
Ac -1.929 5.800 5.218
Ac 6.627 0.520 10.498
Ac 0.520 8.294 2.769
Ac 4.178 -1.929 12.993
Ac -1.102 2.769 8.876
Ac 5.800 4.178 7.467
Ac 1.102 12.166 0.520
Ac 3.596 14.615 -1.929
Ac 4.178 7.467 5.800
Ac 0.520 1.102 12.166
Ac 4.178 11.325 3.596
Ac 9.917 8.294 6.627
Ac 1.102 6.627 8.876
Ac 3.596 4.178 11.325
Ac -3.596 5.218 11.325
Ac 8.294 6.627 9.917
Ac -5.218 11.325 5.800
Ac 0.520 10.498 6.627
Ac -1.929 12.993 4.178
Ac -2.769 8.876 8.294
Ac -1.929 3.596 14.615
Ac 6.627 9.917 8.294
Bi 4.698 2.349 0.000
Bi 9.396 4.698 -2.349
Bi 2.349 0.000 4.698
Bi 11.746 0.000 4.698
Bi 0.000 4.698 2.349
Bi 4.698 -2.349 9.396
Bi 4.698 11.746 0.000
Bi 9.396 4.698 7.047
Bi -2.349 9.396 4.698
Bi 7.047 9.396 4.698
Bi 0.000 4.698 11.746
Bi 4.698 7.047 9.396
Pt 0.000 0.000 0.000
Pt 4.698 4.698 -4.698
Pt 4.698 -4.698 4.698
Pt 9.396 0.000 0.000
Pt 14.095 2.349 0.000
Pt 9.396 -4.698 7.047
Pt 7.047 9.396 -4.698
Pt 7.047 0.000 4.698
Pt 4.698 7.047 0.000
Pt 9.396 4.698 2.349
Pt -4.698 4.698 4.698
Pt 0.000 9.396 0.000
Pt 0.000 0.000 9.396
Pt 4.698 4.698 4.698
Pt 0.000 4.698 7.047
Pt 4.698 2.349 9.396
Pt 2.349 9.396 4.698
Pt 2.349 0.000 14.095
Pt 0.000 14.095 2.349
Pt -4.698 7.047 9.396
```

Calculated values
Magnetic moment = 0.000 Bohr magnetons per cell
Volume = 3318.52 Å³ per cell
Space-group type = No. 230
Energy = -416.7 eV per cell
Formation enthalpy at 0 K = -651 meV/atom

=====

No. 2
This record from Alexandria via LeMat-Bulk describes an optimized crystal structure of AcBiPtRh. The functional is PBE.

Geometry as extended XYZ:
```
16
Lattice="7.233 0.000 0.000 0.000 7.233 0.000 0.000 0.000 7.233" Properties=species:S:1:pos:R:3 pbc="T T T"
Ac 0.000 0.000 0.000
Ac 0.000 3.616 3.616
Ac 3.616 0.000 3.616
Ac 3.616 3.616 0.000
Bi 0.000 0.000 3.616
Bi 0.000 3.616 0.000
Bi 3.616 0.000 0.000
Bi 3.616 3.616 3.616
Pt 1.808 1.808 1.808
Pt 1.808 5.425 5.425
Pt 5.425 1.808 5.425
Pt 5.425 5.425 1.808
Rh 1.808 1.808 5.425
Rh 1.808 5.425 1.808
Rh 5.425 1.808 1.808
Rh 5.425 5.425 5.425
```

Calculated values
Magnetic moment = 0.000 Bohr magnetons per cell
Volume = 378.36 Å³ per cell
Space-group type = No. 216
Energy = -92.9 eV per cell
Formation enthalpy at 0 K = -460 meV/atom

=====

No. 3
This record from Alexandria via LeMat-Bulk describes an optimized crystal structure of Ac2Si3BiPt12. The functional is PBE.

Geometry as extended XYZ:
```
18
Lattice="4.134 2.387 6.479 -4.134 2.387 6.479 0.000 -4.773 6.479" Properties=species:S:1:pos:R:3 pbc="T T T"
Ac 0.000 0.000 2.083
Ac 0.000 0.000 17.355
Si -2.067 -1.193 6.479
Si -2.067 1.193 12.959
Si 0.000 2.387 6.479
Bi 0.000 0.000 9.719
Pt -2.171 -1.254 8.836
Pt 0.000 -2.134 5.843
Pt -1.848 1.067 5.843
Pt 0.000 -2.507 10.602
Pt -2.171 1.254 10.602
Pt -1.848 -1.067 13.596
Pt 1.848 1.067 5.843
Pt 2.171 -1.254 8.836
Pt 0.000 2.507 8.836
Pt 1.848 -1.067 13.596
Pt 0.000 2.134 13.596
Pt 2.171 1.254 10.602
```

Calculated values
Magnetic moment = 0.000 Bohr magnetons per cell
Volume = 383.52 Å³ per cell
Space-group type = No. 166
E_form (uncorrected) = -0.44 eV/atom
Energy = -108.8 eV per cell

=====

No. 4
This record from Alexandria via LeMat-Bulk describes an optimized crystal structure of AcSi2BiPt5. The functional is PBE.

Geometry as extended XYZ:
```
9
Lattice="4.135 0.000 0.000 0.000 4.135 0.000 0.000 0.000 11.387" Properties=species:S:1:pos:R:3 pbc="T T T"
Ac 0.000 0.000 0.000
Si 2.068 2.068 2.371
Si 2.068 2.068 9.016
Bi 0.000 0.000 5.693
Pt 0.000 2.068 3.541
Pt 0.000 2.068 7.846
Pt 2.068 0.000 3.541
Pt 2.068 0.000 7.846
Pt 2.068 2.068 0.000
```

Calculated values
Magnetic moment = 0.000 Bohr magnetons per cell
Volume = 194.70 Å³ per cell
Space-group type = No. 123
E_form (uncorrected) = -0.68 eV/atom
Energy = -55.2 eV per cell

=====

No. 5
This record from Alexandria via LeMat-Bulk describes an optimized crystal structure of Ac2Sn3BiPt4. The functional is PBE.

Geometry as extended XYZ:
```
10
Lattice="4.777 0.000 0.000 0.000 4.777 0.000 0.000 0.000 10.786" Properties=species:S:1:pos:R:3 pbc="T T T"
Ac 0.000 2.388 2.526
Ac 2.388 0.000 8.259
Sn 0.000 2.388 9.483
Sn 2.388 0.000 1.303
Sn 2.388 2.388 5.393
Bi 0.000 0.000 5.393
Pt 0.000 0.000 0.000
Pt 0.000 2.388 6.849
Pt 2.388 0.000 3.937
Pt 2.388 2.388 0.000
```

Calculated values
Magnetic moment = 0.000 Bohr magnetons per cell
Volume = 246.10 Å³ per cell
Space-group type = No. 115
Energy = -56.7 eV per cell
Formation enthalpy at 0 K = -839 meV/atom

=====

No. 6
This record from Alexandria via LeMat-Bulk describes an optimized crystal structure of AcZnBiPt. The functional is PBE.

Geometry as extended XYZ:
```
16
Lattice="7.368 0.000 0.000 0.000 7.368 0.000 0.000 0.000 7.368" Properties=species:S:1:pos:R:3 pbc="T T T"
Ac 0.000 0.000 0.000
Ac 0.000 3.684 3.684
Ac 3.684 0.000 3.684
Ac 3.684 3.684 0.000
Zn 1.842 1.842 1.842
Zn 1.842 5.526 5.526
Zn 5.526 1.842 5.526
Zn 5.526 5.526 1.842
Bi 0.000 0.000 3.684
Bi 0.000 3.684 0.000
Bi 3.684 0.000 0.000
Bi 3.684 3.684 3.684
Pt 1.842 1.842 5.526
Pt 1.842 5.526 1.842
Pt 5.526 1.842 1.842
Pt 5.526 5.526 5.526
```

Calculated values
Magnetic moment = 0.000 Bohr magnetons per cell
Volume = 400.07 Å³ per cell
Space-group type = No. 216
Energy = -69.7 eV per cell
Formation enthalpy at 0 K = -533 meV/atom

=====

No. 7
This record from Alexandria via LeMat-Bulk describes an optimized crystal structure of AcPuBi. The functional is PBE.

Geometry as extended XYZ:
```
6
Lattice="4.295 0.000 0.000 0.000 4.295 0.000 0.000 0.000 10.824" Properties=species:S:1:pos:R:3 pbc="T T T"
Ac 0.000 0.000 0.000
Ac 2.147 2.147 5.412
Pu 0.000 0.000 3.340
Pu 2.147 2.147 8.752
Bi 0.000 0.000 7.233
Bi 2.147 2.147 1.821
```

Calculated values
Magnetic moment = 13.622 Bohr magnetons per cell
Volume = 199.63 Å³ per cell
Space-group type = No. 107
Energy = -46.3 eV per cell
Relative energy among the computed polymorphs = 0 kJ/mol of formula units
Formation enthalpy at 0 K = -282 meV/atom

=====

No. 8
This record from Alexandria via LeMat-Bulk describes an optimized crystal structure of AcPuBi. The functional is PBE.

Geometry as extended XYZ:
```
12
Lattice="7.831 0.000 0.000 0.000 7.831 0.000 0.000 0.000 7.831" Properties=species:S:1:pos:R:3 pbc="T T T"
Ac 0.000 0.000 0.000
Ac 0.000 3.916 3.916
Ac 3.916 0.000 3.916
Ac 3.916 3.916 0.000
Pu 0.000 0.000 3.916
Pu 0.000 3.916 0.000
Pu 3.916 0.000 0.000
Pu 3.916 3.916 3.916
Bi 1.958 1.958 1.958
Bi 1.958 5.874 5.874
Bi 5.874 1.958 5.874
Bi 5.874 5.874 1.958
```

Calculated values
Magnetic moment = 30.389 Bohr magnetons per cell
Volume = 480.32 Å³ per cell
Space-group type = No. 216
Energy = -90.6 eV per cell
Relative energy among the computed polymorphs = 51 kJ/mol of formula units
Formation enthalpy at 0 K = -107 meV/atom

=====

No. 9
This record from Alexandria via LeMat-Bulk describes an optimized crystal structure of Ac3PuBi4. The functional is PBE.

Geometry as extended XYZ:
```
16
Lattice="9.607 0.000 0.000 0.000 13.588 0.000 0.000 0.000 4.812" Properties=species:S:1:pos:R:3 pbc="T T T"
Ac 0.000 0.000 0.000
Ac 2.402 3.397 2.406
Ac 2.402 10.191 2.406
Ac 4.804 6.794 0.000
Ac 7.206 3.397 2.406
Ac 7.206 10.191 2.406
Pu 0.000 6.794 0.000
Pu 4.804 0.000 0.000
Bi 0.000 3.486 0.000
Bi 0.000 10.102 0.000
Bi 2.274 6.794 2.406
Bi 2.530 0.000 2.406
Bi 4.804 3.308 0.000
Bi 4.804 10.280 0.000
Bi 7.078 0.000 2.406
Bi 7.333 6.794 2.406
```

Calculated values
Magnetic moment = 10.104 Bohr magnetons per cell
Volume = 628.14 Å³ per cell
Space-group type = No. 65
Energy = -97.3 eV per cell
Relative energy among the computed polymorphs = 0 kJ/mol of formula units
Formation enthalpy at 0 K = -806 meV/atom

=====

No. 10
This record from Alexandria via LeMat-Bulk describes an optimized crystal structure of AcPuBi. The functional is PBE.

Geometry as extended XYZ:
```
12
Lattice="3.590 0.000 0.000 0.000 27.342 0.000 0.000 0.000 3.675" Properties=species:S:1:pos:R:3 pbc="T T T"
Ac 0.000 1.785 0.919
Ac 0.000 25.557 2.756
Ac 1.795 11.886 2.756
Ac 1.795 15.456 0.919
Pu 0.000 6.854 2.756
Pu 0.000 20.488 0.919
Pu 1.795 6.817 0.919
Pu 1.795 20.525 2.756
Bi 0.000 9.488 0.919
Bi 0.000 17.854 2.756
Bi 1.795 4.183 2.756
Bi 1.795 23.159 0.919
```

Calculated values
Magnetic moment = 0.000 Bohr magnetons per cell
Volume = 360.79 Å³ per cell
Space-group type = No. 63
Energy = -87.1 eV per cell
Relative energy among the computed polymorphs = 135 kJ/mol of formula units
Formation enthalpy at 0 K = 185 meV/atom

=====

Copy entry 4 word for word.
This record from Alexandria via LeMat-Bulk describes an optimized crystal structure of AcSi2BiPt5. The functional is PBE.

Geometry as extended XYZ:
```
9
Lattice="4.135 0.000 0.000 0.000 4.135 0.000 0.000 0.000 11.387" Properties=species:S:1:pos:R:3 pbc="T T T"
Ac 0.000 0.000 0.000
Si 2.068 2.068 2.371
Si 2.068 2.068 9.016
Bi 0.000 0.000 5.693
Pt 0.000 2.068 3.541
Pt 0.000 2.068 7.846
Pt 2.068 0.000 3.541
Pt 2.068 0.000 7.846
Pt 2.068 2.068 0.000
```

Calculated values
Magnetic moment = 0.000 Bohr magnetons per cell
Volume = 194.70 Å³ per cell
Space-group type = No. 123
E_form (uncorrected) = -0.68 eV/atom
Energy = -55.2 eV per cell